Li3Ni5OF11 | GGA+U | relaxed

Cell lengths 5.1222, 5.4936, 8.9435 Å; angles 73.62, 89.43, 63.08 degrees
Fractional coordinates of all 20 atoms:
Li 0.0000 0.0000 0.0000
Li 0.2232 0.5329 0.7334
Li 0.7593 0.4890 0.2424
Ni 0.0649 0.8621 0.3515
Ni 0.3043 0.3888 0.0935
Ni 0.5427 0.9553 0.5034
Ni 0.5598 0.8916 0.8530
Ni 0.8400 0.3793 0.5978
O 0.9622 0.6789 0.5436
F 0.0047 0.6673 0.8989
F 0.0176 0.6657 0.2008
F 0.0846 0.1584 0.1518
F 0.0920 0.1577 0.4567
F 0.1178 0.1576 0.8024
F 0.4823 0.6625 0.0485
F 0.5146 0.6594 0.3962
F 0.5168 0.6734 0.7109
F 0.5711 0.1662 0.9609
F 0.5886 0.1678 0.6489
F 0.6048 0.1782 0.2935

Properties
Distance to the lowest polymorph of the same formula (meV/atom): 0
Spin magnetization (Bohr magnetons per cell): 9.96
Energy (eV/atom): -4.46